1.
Compound: VZn2O4
Source: Alexandria
Functional: PBEsol
Structure: optimized geometry

Cell and atoms, written as extended XYZ:
```
14
Lattice="5.914 0.000 0.000 -2.957 5.179 0.123 0.000 -3.304 4.705" Properties=species:S:1:pos:R:3 pbc="T T T"
V 0.000 -1.652 2.353
V 0.000 0.000 0.000
Zn 0.000 3.404 0.634
Zn 2.957 -1.529 4.195
Zn 1.478 0.937 2.414
Zn -1.478 0.937 2.414
O 2.957 1.941 1.435
O 2.957 0.357 3.691
O 0.000 1.518 1.137
O 0.000 -0.067 3.394
O 4.565 -2.464 3.539
O 1.608 4.339 1.290
O 1.349 -2.464 3.539
O -1.608 4.339 1.290
```

## Properties
Volume: 146.52 Å³ per cell
Raw formation energy: -12.6 eV/f.u.

---

2.
Compound: CaFeI2O
Source: Alexandria
Functional: PBEsol
Structure: optimized geometry

Cell and atoms, written as extended XYZ:
```
5
Lattice="3.706 0.000 0.000 0.000 5.568 0.000 0.000 0.000 5.568" Properties=species:S:1:pos:R:3 pbc="T T T"
I 0.000 0.000 2.784
I 0.000 2.784 0.000
Ca 1.853 2.784 2.784
Fe 0.000 0.000 0.000
O 1.853 0.000 0.000
```

## Properties
Volume: 114.89 Å³ per cell
Raw formation energy: -4.3 eV/f.u.

---

3.
Compound: ZrTaH2W
Source: Alexandria
Functional: PBEsol
Structure: optimized geometry

Cell and atoms, written as extended XYZ:
```
5
Lattice="-0.237 -2.579 2.708 3.203 1.261 1.480 -2.622 3.272 2.886" Properties=species:S:1:pos:R:3 pbc="T T T"
H 1.601 0.631 0.740
H -0.118 -1.289 1.354
Zr 0.172 0.977 3.537
W -1.311 1.636 1.443
Ta 0.000 0.000 0.000
```

## Properties
Volume: 71.46 Å³ per cell
E_tot: -7.663 eV/atom

---

4.
Compound: YGeTeI2
Source: Alexandria
Functional: PBEsol
Structure: optimized geometry

Cell and atoms, written as extended XYZ:
```
5
Lattice="5.421 0.000 0.000 0.000 5.421 0.000 0.000 0.000 5.568" Properties=species:S:1:pos:R:3 pbc="T T T"
I 0.000 2.710 0.000
I 2.710 0.000 0.000
Y 2.710 2.710 2.784
Ge 0.000 0.000 0.000
Te 0.000 0.000 2.784
```

## Properties
Volume: 163.62 Å³ per cell
Raw formation energy: -0.4 eV/f.u.

---

5.
Compound: Ge2AuF
Source: Alexandria
Functional: PBEsol
Structure: optimized geometry

Cell and atoms, written as extended XYZ:
```
4
Lattice="-2.935 1.866 -2.704 -2.471 -2.515 -2.642 -4.313 -0.446 0.784" Properties=species:S:1:pos:R:3 pbc="T T T"
Ge -2.430 -0.274 -1.141
Ge -7.289 -0.821 -3.422
Au -4.860 -0.547 -2.281
F 0.000 0.000 0.000
```

## Properties
Volume: 60.48 Å³ per cell
Raw formation energy: -2.0 eV/f.u.

---

6.
Compound: MnCdOs2
Source: Alexandria
Functional: PBEsol
Structure: optimized geometry

Cell and atoms, written as extended XYZ:
```
4
Lattice="-2.496 0.777 -0.719 -1.546 -1.694 3.535 1.896 4.114 2.801" Properties=species:S:1:pos:R:3 pbc="T T T"
Cd -2.021 -0.459 1.408
Mn -1.073 1.599 2.808
Os -0.830 3.664 1.393
Os 0.230 1.227 0.689
```

## Properties
DFT formation energy: 2.18 eV/f.u.
Volume: 58.98 Å³ per cell

---

- Which formula does entry 2 have?
  CaFeI2O

---

- The highest volume belongs to which entry?
  YGeTeI2